DFT (PBE-GGA) results for a geometry-optimized Mg12AlHg3 structure.

```
Mg12AlHg3
1.0
4.468 0.000 0.000
0.000 4.468 0.000
0.000 0.000 17.111
Mg Al Hg
12 1 3
Cartesian
2.234 2.234 0.000 Mg
0.000 2.234 15.008 Mg
2.234 2.234 4.279 Mg
2.234 0.000 15.008 Mg
2.234 0.000 6.430 Mg
0.000 2.234 6.430 Mg
2.234 2.234 8.555 Mg
0.000 2.234 10.681 Mg
2.234 0.000 10.681 Mg
2.234 0.000 2.103 Mg
2.234 2.234 12.832 Mg
0.000 2.234 2.103 Mg
0.000 0.000 0.000 Al
0.000 0.000 4.280 Hg
0.000 0.000 8.555 Hg
0.000 0.000 12.831 Hg
```

Properties
Symmetry: No. 123
DOS at the Fermi energy in states/eV per cell: 4.26
Formation energy in meV/atom: -104
Energy in eV/atom: -1.5900
Magnetization in μB/cell: 0.000

DFT (PBE-GGA) results for a geometry-optimized MgAlHg3 structure.

```
MgAlHg3
1.0
5.247 0.000 0.000
0.000 5.247 0.000
0.000 0.000 5.247
Hg Al Mg
3 1 1
Cartesian
2.624 0.000 0.000 Hg
0.000 0.000 2.624 Hg
0.000 2.624 0.000 Hg
0.000 0.000 0.000 Al
2.624 2.624 2.624 Mg
```

Properties
Symmetry: No. 221
DOS at the Fermi energy in states/eV per cell: 2.40
Formation energy in meV/atom: 186
Energy in eV/atom: -1.0623
Magnetization in μB/cell: 0.000

DFT (PBE-GGA) results for a geometry-optimized MgAl2Hg structure.

```
MgAl2Hg
1.0
-2.026 -2.916 1.997
-0.388 -3.705 -1.649
4.700 -4.063 2.989
Mg Hg Al
1 1 2
Cartesian
-1.607 -4.415 0.233 Mg
1.127 -5.337 1.660 Hg
0.731 -2.725 0.917 Al
3.179 -3.550 2.195 Al
```

Properties
Symmetry: No. 160
DOS at the Fermi energy in states/eV per cell: 1.61
Formation energy in meV/atom: 262
Energy in eV/atom: -2.0836
Magnetization in μB/cell: 0.000

DFT (PBE-GGA) results for a geometry-optimized Mg3AlHg4 structure.

```
Mg3AlHg4
1.0
4.725 0.015 -1.273
-0.325 4.719 -1.254
-0.418 -0.479 7.836
Hg Mg Al
4 3 1
Cartesian
2.644 2.835 0.351 Hg
3.541 3.784 3.694 Hg
1.339 1.419 4.958 Hg
0.442 0.470 1.615 Hg
3.245 0.942 2.627 Mg
0.738 3.312 2.681 Mg
-0.162 2.359 -0.627 Mg
2.362 0.007 -0.637 Al
```

Properties
Symmetry: No. 12
DOS at the Fermi energy in states/eV per cell: 2.33
Formation energy in meV/atom: -119
Energy in eV/atom: -1.3359
Magnetization in μB/cell: 0.000

DFT (PBE-GGA) results for a geometry-optimized Mg2AlHg structure.

```
Mg2AlHg
1.0
-1.969 -0.461 2.693
-0.292 -3.265 -0.772
5.828 -1.471 4.009
Hg Mg Al
1 2 1
Cartesian
-1.131 -1.863 0.960 Hg
4.328 -1.092 2.978 Mg
1.500 -0.378 1.032 Mg
1.783 -2.598 2.965 Al
```

Properties
Symmetry: No. 123
DOS at the Fermi energy in states/eV per cell: 0.94
Formation energy in meV/atom: -82
Energy in eV/atom: -1.8899
Magnetization in μB/cell: 0.000

DFT (PBE-GGA) results for a geometry-optimized MgAl2Hg structure.

```
MgAl2Hg
1.0
3.190 0.051 0.000
-0.051 3.190 0.000
0.000 0.000 7.778
Al Hg Mg
2 1 1
Cartesian
1.570 1.621 1.787 Al
0.000 0.000 0.133 Al
0.000 0.000 3.833 Hg
1.570 1.621 5.914 Mg
```

Properties
Symmetry: No. 99
DOS at the Fermi energy in states/eV per cell: 1.79
Formation energy in meV/atom: 30
Energy in eV/atom: -2.3158
Magnetization in μB/cell: 0.000

DFT (PBE-GGA) results for a geometry-optimized Mg2AlHg structure.

```
Mg2AlHg
1.0
3.480 0.000 0.000
0.000 4.087 0.000
0.000 0.000 5.900
Hg Mg Al
1 2 1
Cartesian
1.740 2.044 4.449 Hg
1.740 2.044 1.560 Mg
0.000 0.000 5.832 Mg
0.000 0.000 2.909 Al
```

Properties
Symmetry: No. 25
DOS at the Fermi energy in states/eV per cell: 2.39
Formation energy in meV/atom: -15
Energy in eV/atom: -1.8232
Magnetization in μB/cell: 0.000

DFT (PBE-GGA) results for a geometry-optimized MgAl2Hg structure.

```
MgAl2Hg
1.0
-2.183 -1.615 -4.628
3.612 -1.840 -3.516
-1.031 -0.994 5.171
Hg Mg Al
1 1 2
Cartesian
1.648 -2.281 -1.208 Hg
-1.250 -2.169 -1.764 Mg
0.714 -1.728 -4.072 Al
0.000 0.000 0.000 Al
```

Properties
Symmetry: No. 139
DOS at the Fermi energy in states/eV per cell: 1.38
Formation energy in meV/atom: 43
Energy in eV/atom: -2.3028
Magnetization in μB/cell: 0.000

DFT (PBE-GGA) results for a geometry-optimized Mg2AlHg structure.

```
Mg2AlHg
1.0
-1.184 2.229 1.984
-2.459 1.839 -0.936
-7.311 -5.007 3.862
Al Mg Hg
1 2 1
Cartesian
-5.477 -0.470 2.455 Al
-2.748 -0.245 1.233 Mg
-5.782 -3.411 2.981 Mg
-9.734 -2.289 4.557 Hg
```

Properties
Symmetry: No. 160
DOS at the Fermi energy in states/eV per cell: 1.58
Formation energy in meV/atom: -23
Energy in eV/atom: -1.8310
Magnetization in μB/cell: 0.000

DFT (PBE-GGA) results for a geometry-optimized Mg3AlHg2 structure.

```
Mg3AlHg2
1.0
3.344 0.000 0.000
0.000 3.344 0.000
0.000 0.000 11.109
Mg Hg Al
3 2 1
Cartesian
0.000 0.000 7.323 Mg
0.000 0.000 3.786 Mg
0.000 0.000 0.000 Mg
1.672 1.672 9.181 Hg
1.672 1.672 1.928 Hg
1.672 1.672 5.555 Al
```

Properties
Symmetry: No. 123
DOS at the Fermi energy in states/eV per cell: 1.70
Formation energy in meV/atom: -118
Energy in eV/atom: -1.6395
Magnetization in μB/cell: 0.000

DFT (PBE-GGA) results for a geometry-optimized Mg4AlHg7 structure.

```
Mg4AlHg7
1.0
5.660 -1.075 1.319
0.516 6.584 2.732
0.614 0.346 7.592
Hg Mg Al
7 4 1
Cartesian
4.687 1.493 2.064 Hg
2.676 5.239 6.493 Hg
1.200 1.962 5.368 Hg
2.104 4.363 9.579 Hg
5.590 3.893 6.275 Hg
2.830 -0.537 0.659 Hg
4.114 0.617 5.149 Hg
5.652 4.712 9.094 Mg
3.235 2.573 7.523 Mg
3.555 3.282 4.119 Mg
1.139 1.143 2.549 Mg
0.000 0.000 0.000 Al
```

Properties
Symmetry: No. 2
DOS at the Fermi energy in states/eV per cell: 3.07
Formation energy in meV/atom: -90
Energy in eV/atom: -1.1099
Magnetization in μB/cell: 0.000

DFT (PBE-GGA) results for a geometry-optimized MgAl2Hg structure.

```
MgAl2Hg
1.0
0.015 -3.013 -4.338
-3.120 -1.721 3.899
-2.377 1.667 -1.166
Hg Al Mg
1 2 1
Cartesian
-1.181 -0.673 -2.752 Hg
0.000 0.000 0.000 Al
-1.552 -2.367 -0.220 Al
-2.749 -0.027 1.366 Mg
```

Properties
Symmetry: No. 65
DOS at the Fermi energy in states/eV per cell: 0.84
Formation energy in meV/atom: 64
Energy in eV/atom: -2.2812
Magnetization in μB/cell: 0.000

DFT (PBE-GGA) results for a geometry-optimized MgAl2Hg structure.

```
MgAl2Hg
1.0
-3.581 2.051 2.491
-1.874 0.050 4.441
2.542 4.301 2.188
Al Mg Hg
2 1 1
Cartesian
-2.121 4.884 6.870 Al
2.461 4.227 2.183 Al
-0.728 1.602 2.281 Mg
-1.437 3.191 4.533 Hg
```

Properties
Symmetry: No. 8
DOS at the Fermi energy in states/eV per cell: 0.97
Formation energy in meV/atom: 37
Energy in eV/atom: -2.3084
Magnetization in μB/cell: 0.000

DFT (PBE-GGA) results for a geometry-optimized MgAl2Hg structure.

```
MgAl2Hg
1.0
3.446 0.000 0.000
0.000 4.590 0.000
0.000 0.000 5.044
Al Mg Hg
2 1 1
Cartesian
0.000 0.000 0.000 Al
1.723 2.295 0.000 Al
0.000 2.295 2.522 Mg
1.723 0.000 2.522 Hg
```

Properties
Symmetry: No. 47
DOS at the Fermi energy in states/eV per cell: 1.74
Formation energy in meV/atom: 75
Energy in eV/atom: -2.2705
Magnetization in μB/cell: 0.000

DFT (PBE-GGA) results for a geometry-optimized Mg8AlHg2 structure.

```
Mg8AlHg2
1.0
5.168 -0.168 -0.252
-1.122 7.547 -0.548
-1.122 -3.413 6.753
Mg Hg Al
8 2 1
Cartesian
1.462 5.062 0.925 Mg
2.737 1.900 5.536 Mg
0.191 2.471 3.708 Mg
2.737 4.377 3.886 Mg
1.462 -1.097 5.028 Mg
0.187 -0.412 2.067 Mg
2.733 1.495 2.244 Mg
0.187 2.066 0.416 Mg
-1.122 -0.086 4.537 Hg
-1.122 4.220 1.668 Hg
2.584 -0.084 -0.126 Al
```

Properties
Symmetry: No. 12
DOS at the Fermi energy in states/eV per cell: 4.34
Formation energy in meV/atom: -48
Energy in eV/atom: -1.6025
Magnetization in μB/cell: 0.000

DFT (PBE-GGA) results for a geometry-optimized Mg4AlHg3 structure.

```
Mg4AlHg3
1.0
3.488 0.000 0.000
0.000 3.488 0.000
0.000 0.000 13.771
Mg Hg Al
4 3 1
Cartesian
0.000 0.000 5.141 Mg
0.000 0.000 1.679 Mg
0.000 0.000 8.630 Mg
0.000 0.000 12.092 Mg
1.744 1.744 6.885 Hg
1.744 1.744 10.416 Hg
1.744 1.744 3.355 Hg
1.744 1.744 0.000 Al
```

Properties
Symmetry: No. 123
DOS at the Fermi energy in states/eV per cell: 1.89
Formation energy in meV/atom: -145
Energy in eV/atom: -1.5238
Magnetization in μB/cell: 0.000

DFT (PBE-GGA) results for a geometry-optimized Mg2AlHg structure.

```
Mg2AlHg
1.0
-3.729 0.719 -3.272
0.788 -2.684 -1.488
-3.199 -2.638 3.066
Hg Mg Al
1 2 1
Cartesian
-3.971 -3.462 -0.076 Hg
-2.787 -0.815 -0.843 Mg
-2.893 -2.802 2.680 Mg
-0.895 -2.822 0.400 Al
```

Properties
Symmetry: No. 25
DOS at the Fermi energy in states/eV per cell: 1.22
Formation energy in meV/atom: -75
Energy in eV/atom: -1.8831
Magnetization in μB/cell: 0.000

DFT (PBE-GGA) results for a geometry-optimized MgAl2Hg structure.

```
MgAl2Hg
1.0
3.070 0.000 0.000
0.000 3.070 0.000
0.000 0.000 8.419
Al Hg Mg
2 1 1
Cartesian
0.000 0.000 4.240 Al
0.000 0.000 8.390 Al
1.535 1.535 2.105 Hg
1.535 1.535 6.315 Mg
```

Properties
Symmetry: No. 123
DOS at the Fermi energy in states/eV per cell: 1.23
Formation energy in meV/atom: 108
Energy in eV/atom: -2.2372
Magnetization in μB/cell: 0.000

DFT (PBE-GGA) results for a geometry-optimized Mg12Al5Hg3 structure.

```
Mg12Al5Hg3
1.0
-12.030 3.514 -6.823
9.027 -6.190 -9.156
-3.014 -9.085 10.584
Mg Al Hg
48 20 12
Cartesian
-12.943 -5.136 1.986 Mg
-0.443 -9.800 -5.464 Mg
-6.577 -1.736 -9.910 Mg
-5.294 -7.050 -8.020 Mg
-12.213 -3.041 -0.136 Mg
1.684 -7.328 -5.038 Mg
-1.899 -3.378 -13.521 Mg
-2.679 -5.174 -11.157 Mg
1.752 -11.542 -2.861 Mg
0.518 -3.234 -8.269 Mg
-5.575 -1.961 0.069 Mg
2.983 -4.120 -6.666 Mg
-0.592 -7.148 -7.404 Mg
-2.531 -8.447 -3.665 Mg
-0.865 -11.093 -0.921 Mg
-0.294 -2.753 0.299 Mg
-5.425 -4.613 2.009 Mg
-7.699 1.122 -5.536 Mg
-6.461 -3.277 -5.426 Mg
-0.781 -2.183 -5.436 Mg
0.443 -8.483 0.030 Mg
1.682 -12.883 0.141 Mg
-0.253 -6.186 -2.948 Mg
0.559 -10.024 4.515 Mg
-7.702 -4.432 -0.357 Mg
6.195 -8.719 -5.259 Mg
-7.770 -0.219 -2.534 Mg
-8.807 -1.439 -6.816 Mg
1.834 -2.721 -3.920 Mg
-7.851 -9.039 -1.475 Mg
-5.724 -9.008 -5.694 Mg
3.211 -9.142 -1.620 Mg
-5.765 -5.575 -2.448 Mg
6.925 -6.624 -7.381 Mg
-3.911 -2.574 -8.636 Mg
-3.338 -6.586 5.761 Mg
-3.639 -6.103 0.005 Mg
-5.236 -9.578 0.041 Mg
-9.228 -2.618 -3.775 Mg
-4.119 -8.382 8.126 Mg
-0.723 -4.710 2.625 Mg
-2.106 -9.187 3.241 Mg
-2.379 -5.658 -5.401 Mg
-6.536 -8.527 2.874 Mg
-3.487 -3.313 -1.731 Mg
2.789 -10.322 1.421 Mg
-9.000 -7.641 1.271 Mg
-5.153 -0.668 -4.474 Mg
-1.506 -7.121 1.476 Al
-2.631 -1.365 -3.525 Al
-5.644 -6.269 4.235 Al
-10.154 -4.151 -1.644 Al
4.513 -3.095 -4.578 Al
-6.015 1.757 -3.411 Al
-3.386 -10.395 -1.871 Al
-7.522 -2.785 1.880 Al
-7.145 -7.607 -3.755 Al
-4.511 -4.640 -6.871 Al
0.000 0.000 0.000 Al
4.514 -5.673 -8.394 Al
-1.507 -4.542 5.292 Al
3.006 -7.637 0.714 Al
1.128 -4.153 -1.640 Al
-10.532 -6.087 2.999 Al
-1.502 -1.338 -7.989 Al
-0.374 -5.491 -9.630 Al
-3.009 -5.880 -2.698 Al
4.136 -7.610 -3.751 Al
-3.009 -3.302 1.119 Hg
-1.884 -9.057 6.119 Hg
-4.133 -2.703 -11.514 Hg
0.377 -4.822 -5.635 Hg
0.375 -9.003 -2.811 Hg
-0.003 -10.939 1.833 Hg
-3.008 -8.459 -6.514 Hg
-6.014 -0.821 -7.228 Hg
-6.393 -2.758 -2.584 Hg
4.134 -11.790 -0.927 Hg
-6.394 -6.938 0.240 Hg
-10.152 0.030 -4.469 Hg
```

Properties
Symmetry: No. 230
DOS at the Fermi energy in states/eV per cell: 44.78
Formation energy in meV/atom: 338
Energy in eV/atom: -1.6001
Magnetization in μB/cell: 0.000

DFT (PBE-GGA) results for a geometry-optimized Mg2AlHg structure.

```
Mg2AlHg
1.0
7.875 0.000 0.000
0.000 7.875 0.000
3.937 3.937 2.987
Al Mg Hg
2 4 2
Cartesian
3.937 7.875 1.494 Al
3.937 3.937 0.000 Al
5.906 5.872 2.240 Mg
5.940 1.969 0.747 Mg
1.935 5.906 0.747 Mg
9.843 9.877 2.240 Mg
0.000 0.000 0.000 Hg
7.875 3.937 1.494 Hg
```

Properties
Symmetry: No. 122
DOS at the Fermi energy in states/eV per cell: 3.14
Formation energy in meV/atom: 146
Energy in eV/atom: -1.6622
Magnetization in μB/cell: 0.000